[1]
A plane-wave DFT calculation with PBE was carried out for a geometry-optimized SrRe2Ir structure.

Cell lengths 10.2763, 10.2763, 10.2763 Å; angles 15.80, 15.80, 15.80 degrees
Positions (direct):
Ir 0.7500 0.7500 0.7500
Sr 0.2500 0.2500 0.2500
Re 0.4880 0.4880 0.4880
Re 0.0120 0.0120 0.0120

E = -8.079 eV per atom
Space-group type = R-3m
Magnetization = 0.0 μB per formula unit
Calculated formation energy = 0.781 eV/atom
DOS at the Fermi energy = 2.71 states/eV/f.u.
Excess energy over the best structure of this formula in the dataset = 32.6 kJ/mol of atoms

***

[2]
A plane-wave DFT calculation with PBE was carried out for a geometry-optimized ZrAg3Hg structure.

Cell lengths 5.0924, 5.0924, 5.0924 Å; angles 90.00, 90.00, 90.00 degrees
Positions (direct):
Ag 0.0000 0.0000 0.5000
Hg 0.0000 0.0000 0.0000
Ag 0.5000 0.0000 0.0000
Zr 0.5000 0.5000 0.5000
Ag 0.0000 0.5000 0.0000

E = -2.574 eV per atom
Space-group type = Pm-3m
Magnetization = 1.9 μB per formula unit
Calculated formation energy = 0.907 eV/atom
DOS at the Fermi energy = 5.18 states/eV/f.u.
Excess energy over the best structure of this formula in the dataset = 87.0 kJ/mol of atoms

***

[3]
A plane-wave DFT calculation with PBE was carried out for a geometry-optimized HgMoOs2 structure.

Cell lengths 2.7911, 2.7911, 8.3881 Å; angles 90.00, 90.00, 90.00 degrees
Positions (direct):
Os 0.5000 0.5000 0.2223
Os 0.0000 0.0000 0.0166
Mo 0.5000 0.5000 0.7678
Hg 0.0000 0.0000 0.4933

E = -7.984 eV per atom
Space-group type = P4mm
Magnetization = 0.0 μB per formula unit
Calculated formation energy = 0.415 eV/atom
DOS at the Fermi energy = 3.35 states/eV/f.u.

***

[4]
A plane-wave DFT calculation with PBE was carried out for a geometry-optimized MgAlN3 structure.

Cell lengths 3.8655, 3.8655, 3.8655 Å; angles 90.00, 90.00, 90.00 degrees
Positions (direct):
Al 0.5000 0.5000 0.5000
N 0.5000 0.0000 0.0000
Mg 0.0000 0.0000 0.0000
N 0.0000 0.0000 0.5000
N 0.0000 0.5000 0.0000

E = -4.415 eV per atom
Space-group type = Pm-3m
Magnetization = 2.6 μB per formula unit
DOS at the Fermi energy = 2.90 states/eV/f.u.
Formation energy without anion corrections = 1648 meV/atom

***

[5]
A plane-wave DFT calculation with PBE was carried out for a geometry-optimized Sm2Dy3Si4 structure.

Cell lengths 7.4781, 7.7027, 7.7560 Å; angles 90.00, 90.00, 106.58 degrees
Positions (direct):
Sm 0.4138 0.8005 0.6796
Sm 0.5862 0.1995 0.3204
Si 0.6228 0.5080 0.6188
Dy 0.5000 0.5000 0.0000
Si 0.3784 0.0798 0.9703
Sm 0.9138 0.8005 0.8204
Si 0.1228 0.5080 0.8812
Dy 0.2534 0.2438 0.6812
Dy 0.7466 0.7562 0.3188
Sm 0.0862 0.1995 0.1796
Si 0.1216 0.9202 0.4703
Si 0.3772 0.4920 0.3812
Dy 0.7534 0.2438 0.8188
Si 0.8772 0.4920 0.1188
Dy 0.2466 0.7562 0.1812
Dy 0.0000 0.5000 0.5000
Si 0.6216 0.9202 0.0297
Si 0.8784 0.0798 0.5297

E = -5.751 eV per atom
Space-group type = P2_1/c
Magnetization = 0.0 μB per formula unit
DOS at the Fermi energy = 8.56 states/eV/f.u.
Formation energy without anion corrections = -758 meV/atom

***

[6]
A plane-wave DFT calculation with PBE was carried out for a geometry-optimized TlCd2Os structure.

Cell lengths 5.5376, 5.5376, 5.5376 Å; angles 136.90, 136.90, 62.59 degrees
Positions (direct):
Tl 0.7500 0.2500 0.5000
Os 0.2500 0.7500 0.5000
Cd 0.0000 0.0000 0.0000
Cd 0.5000 0.5000 0.0000

E = -3.248 eV per atom
Space-group type = I4/mmm
Magnetization = 0.3 μB per formula unit
Calculated formation energy = 0.609 eV/atom
DOS at the Fermi energy = 2.32 states/eV/f.u.
Excess energy over the best structure of this formula in the dataset = 12.7 kJ/mol of atoms